Run A
LiSnTe3: optimized geometry, PBE. Values from VASP.

Calculated values
- Symmetry: Cmc2_1, No. 36

Structure (Quantum ESPRESSO input):
```
&SYSTEM
  ibrav = 0, nat = 10, ntyp = 3
/
ATOMIC_SPECIES
Li 6.94 Li.upf
Sn 118.71 Sn.upf
Te 127.60 Te.upf
ATOMIC_POSITIONS angstrom
Li 1.908 7.816 3.673
Li 1.908 -7.816 0.000
Sn 1.908 3.020 3.138
Sn 1.908 -3.020 6.811
Te 1.908 10.589 5.449
Te 1.908 5.528 1.934
Te 1.908 2.520 5.856
Te 1.908 -2.520 2.183
Te 1.908 -5.528 5.607
Te 1.908 -10.589 1.776
CELL_PARAMETERS angstrom
1.908 -12.111 0.000
1.908 12.111 0.000
0.000 0.000 7.347
```

=====

Run B
LiSnTe3: optimized geometry, PBE. Values from VASP.

Calculated values
- Symmetry: Pm-3m, No. 221

Structure (Quantum ESPRESSO input):
```
&SYSTEM
  ibrav = 0, nat = 5, ntyp = 3
/
ATOMIC_SPECIES
Li 6.94 Li.upf
Sn 118.71 Sn.upf
Te 127.60 Te.upf
ATOMIC_POSITIONS angstrom
Li 0.000 0.000 0.000
Sn 2.591 2.591 2.591
Te 0.000 0.000 2.591
Te 0.000 2.591 0.000
Te 2.591 0.000 0.000
CELL_PARAMETERS angstrom
5.182 0.000 0.000
0.000 5.182 0.000
0.000 0.000 5.182
```

=====

Of them, the most stable is run A and the least stable is run B.